#P
Here is an optimized crystal structure of CrB3Os from the Alexandria database. Energies are from GGA-PBE.

a = 3.7219 Å, b = 3.7219 Å, c = 3.7219 Å
α = 90.00°, β = 90.00°, γ = 90.00°
With the nearest neighbours (Å) after each atom.
Fractional coordinates of all 5 atoms:
Cr 0.0000 0.0000 0.0000  6 B 1.86
B 0.5000 0.0000 0.0000  2 Cr 1.86
B 0.0000 0.0000 0.5000  2 Cr 1.86
B 0.0000 0.5000 0.0000  2 Cr 1.86
Os 0.5000 0.5000 0.5000  12 B 2.63

Calculated values
total magnetic moment: 0.00 μB per atom


#Q
Here is an optimized crystal structure of CrB3Os from the Alexandria database. Energies are from GGA-PBE.

a = 3.9950 Å, b = 3.9950 Å, c = 3.9950 Å
α = 90.00°, β = 90.00°, γ = 90.00°
With the nearest neighbours (Å) after each atom.
Fractional coordinates of all 5 atoms:
B 0.0000 0.0000 0.5000  2 Os 2.00
B 0.5000 0.0000 0.0000  2 Os 2.00
B 0.0000 0.5000 0.0000  2 Os 2.00
Os 0.0000 0.0000 0.0000  6 B 2.00
Cr 0.5000 0.5000 0.5000  12 B 2.82

Calculated values
total magnetic moment: 0.04 μB per atom


It is #Q that is the most stable of them.


#P
Here is an optimized crystal structure of CrBOs from the Alexandria database. Energies are from GGA-PBE.

a = 4.3470 Å, b = 4.5106 Å, c = 4.2690 Å
α = 75.84°, β = 59.39°, γ = 61.19°
With the nearest neighbours (Å) after each atom.
Fractional coordinates of all 6 atoms:
Cr 0.6626 0.0001 0.6747  4 B 2.34-2.35, 3 Cr 2.39-2.52
Cr 0.3374 0.9999 0.3253  4 B 2.34-2.35, 3 Cr 2.39-2.52
Os 0.8425 0.3152 0.9998  4 B 2.26, 1 Os 2.49
Os 0.1575 0.6848 0.0002  4 B 2.26, 1 Os 2.49
B 0.2496 0.5000 0.5000  2 B 2.17-2.18, 4 Os 2.26, 4 Cr 2.34-2.35
B 0.7504 0.5000 0.5000  2 B 2.17-2.18, 4 Os 2.26, 4 Cr 2.34-2.35

Calculated values
total magnetic moment: 0.00 μB per atom


#Q
Here is an optimized crystal structure of CrBOs from the Alexandria database. Energies are from GGA-PBE.

a = 4.9722 Å, b = 4.9722 Å, c = 5.8436 Å
α = 90.00°, β = 90.00°, γ = 90.00°
With the nearest neighbours (Å) after each atom.
Fractional coordinates of all 12 atoms:
Os 0.2027 0.2027 0.5000  3 B 2.04-2.08
Os 0.7027 0.2973 0.2500  3 B 2.04-2.08
Os 0.7973 0.7973 0.0000  3 B 2.04-2.08
Os 0.2973 0.7027 0.7500  3 B 2.04-2.08
B 0.5018 0.5018 0.0000  3 Os 2.04-2.08, 3 Cr 2.04-2.08
B 0.9982 0.0018 0.2500  3 Os 2.04-2.08, 3 Cr 2.04-2.08
B 0.4982 0.4982 0.5000  3 Os 2.04-2.08, 3 Cr 2.04-2.08
B 0.0018 0.9982 0.7500  3 Os 2.04-2.08, 3 Cr 2.04-2.08
Cr 0.7887 0.7887 0.5000  3 B 2.04-2.08
Cr 0.7113 0.2887 0.7500  3 B 2.04-2.08
Cr 0.2113 0.2113 0.0000  3 B 2.04-2.08
Cr 0.2887 0.7113 0.2500  3 B 2.04-2.08

Calculated values
total magnetic moment: 0.62 μB per atom


It is #P that is the most stable of them.